(1)
Here is Ac8LaOs2 after structural relaxation from Alexandria via LeMat-Bulk. Energies are from GGA-PBE.

Lattice parameters (Å, degrees): 8.229 8.229 7.054 92.37 92.37 68.07
Fractional positions:
Ac 0.063 0.641 0.325
Ac 0.124 0.124 0.195
Ac 0.359 0.937 0.675
Ac 0.368 0.368 0.909
Ac 0.632 0.632 0.091
Ac 0.641 0.063 0.325
Ac 0.876 0.876 0.805
Ac 0.937 0.359 0.675
La 0.500 0.500 0.500
Os 0.286 0.286 0.487
Os 0.714 0.714 0.513

Results
* SG: C2/m, No. 12
* calculated formation energy: 1.8 kJ/mol of atoms
* VASP energy: -5.46 eV per atom
* crystal system: monoclinic

(2)
Here is PrPuNi after structural relaxation from Alexandria via LeMat-Bulk. Energies are from GGA-PBE.

Lattice parameters (Å, degrees): 4.584 4.584 3.965 90.00 90.00 120.00
Fractional positions:
Pr 0.000 0.000 0.000
Pu 0.667 0.333 0.460
Ni 0.333 0.667 0.608

Results
* SG: P3m1, No. 156
* calculated formation energy: 12.1 kJ/mol of atoms
* VASP energy: -8.17 eV per atom
* crystal system: trigonal

(3)
Here is Ac6Si2SeCl3 after structural relaxation from Alexandria via LeMat-Bulk. Energies are from GGA-PBE.

Lattice parameters (Å, degrees): 9.948 9.948 8.814 101.33 101.33 26.39
Fractional positions:
Ac 0.005 0.005 0.247
Ac 0.328 0.328 0.427
Ac 0.336 0.336 0.903
Ac 0.664 0.664 0.097
Ac 0.672 0.672 0.573
Ac 0.995 0.995 0.753
Si 0.164 0.164 0.331
Si 0.836 0.836 0.669
Se 0.500 0.500 0.000
Cl 0.171 0.171 0.838
Cl 0.500 0.500 0.500
Cl 0.829 0.829 0.162

Results
* SG: C2/m, No. 12
* VASP energy: -5.04 eV per atom
* crystal system: monoclinic
* ΔE_f (raw): -15.93 eV per formula unit

(4)
Here is RbNaP2S after structural relaxation from Alexandria via LeMat-Bulk. Energies are from GGA-PBE.

Lattice parameters (Å, degrees): 6.348 6.348 5.995 90.00 90.00 90.00
Fractional positions:
Rb 0.000 0.000 0.000
Na 0.500 0.500 0.500
P 0.000 0.500 0.000
P 0.500 0.000 0.000
S 0.000 0.000 0.500

Results
* SG: P4/mmm, No. 123
* VASP energy: -2.25 eV per atom
* crystal system: tetragonal
* ΔE_f (raw): 5.98 eV per formula unit

- Look up the VASP energy of the first one.
  -5.46 eV per atom

Repeat the fourth record exactly.
Here is RbNaP2S after structural relaxation from Alexandria via LeMat-Bulk. Energies are from GGA-PBE.

Lattice parameters (Å, degrees): 6.348 6.348 5.995 90.00 90.00 90.00
Fractional positions:
Rb 0.000 0.000 0.000
Na 0.500 0.500 0.500
P 0.000 0.500 0.000
P 0.500 0.000 0.000
S 0.000 0.000 0.500

Results
* SG: P4/mmm, No. 123
* VASP energy: -2.25 eV per atom
* crystal system: tetragonal
* ΔE_f (raw): 5.98 eV per formula unit

- VASP energy of number 4 (RbNaP2S)?
  -2.25 eV per atom